1.
This record from Alexandria via LeMat-Bulk describes a geometry-optimized YTaCo3 structure. The functional is PBE-GGA.

Output
- V: 18.428 Å³/atom
- Excess energy over the best structure of this formula in the dataset: 0.0 meV per atom
- E_tot: -36.58 eV per cell
- Spin magnetization: 0.020 μB per formula unit
- Space group: Pm-3m, No. 221
- Calculated formation energy: 0.6110 eV/atom

a = 4.517 Å, b = 4.517 Å, c = 4.517 Å
α = 90.00°, β = 90.00°, γ = 90.00°
Fractional positions:
1 Y 0.000 0.000 0.000
2 Ta 0.500 0.500 0.500
3 Co 0.000 0.500 0.500
4 Co 0.500 0.000 0.500
5 Co 0.500 0.500 0.000

***

2.
This record from Alexandria via LeMat-Bulk describes a geometry-optimized ScOsRh3 structure. The functional is PBE-GGA.

Output
- V: 20.795 Å³/atom
- Excess energy over the best structure of this formula in the dataset: 0.0 meV per atom
- E_tot: -35.79 eV per cell
- Spin magnetization: 0.000 μB per formula unit
- Space group: Pm-3m, No. 221
- Calculated formation energy: 0.7650 eV/atom

a = 4.702 Å, b = 4.702 Å, c = 4.702 Å
α = 90.00°, β = 90.00°, γ = 90.00°
Fractional positions:
1 Sc 0.000 0.000 0.000
2 Os 0.500 0.500 0.500
3 Rh 0.000 0.500 0.500
4 Rh 0.500 0.000 0.500
5 Rh 0.500 0.500 0.000

***

3.
This record from Alexandria via LeMat-Bulk describes a geometry-optimized Tc3CCl structure. The functional is PBE-GGA.

Output
- V: 14.125 Å³/atom
- Excess energy over the best structure of this formula in the dataset: 0.0 meV per atom
- E_tot: -37.62 eV per cell
- Spin magnetization: 1.783 μB per formula unit
- Space group: Pm-3m, No. 221

a = 4.134 Å, b = 4.134 Å, c = 4.134 Å
α = 90.00°, β = 90.00°, γ = 90.00°
Fractional positions:
1 Tc 0.000 0.000 0.500
2 Tc 0.000 0.500 0.000
3 Tc 0.500 0.000 0.000
4 C 0.000 0.000 0.000
5 Cl 0.500 0.500 0.500

***

4.
This record from Alexandria via LeMat-Bulk describes a geometry-optimized P3PdCl structure. The functional is PBE-GGA.

Output
- V: 21.410 Å³/atom
- Excess energy over the best structure of this formula in the dataset: 0.0 meV per atom
- E_tot: -18.63 eV per cell
- Spin magnetization: 2.472 μB per formula unit
- Space group: Pm-3m, No. 221

a = 4.748 Å, b = 4.748 Å, c = 4.748 Å
α = 90.00°, β = 90.00°, γ = 90.00°
Fractional positions:
1 P 0.000 0.000 0.500
2 P 0.000 0.500 0.000
3 P 0.500 0.000 0.000
4 Pd 0.000 0.000 0.000
5 Cl 0.500 0.500 0.500

***

5.
This record from Alexandria via LeMat-Bulk describes a geometry-optimized CuHgI2 structure. The functional is PBE-GGA.

Output
- V: 36.199 Å³/atom
- Excess energy over the best structure of this formula in the dataset: 121.6 meV per atom
- E_tot: -15.43 eV per cell
- Spin magnetization: 0.000 μB per formula unit
- Space group: I-42d, No. 122

a = 7.453 Å, b = 7.453 Å, c = 7.453 Å
α = 120.71°, β = 120.71°, γ = 88.78°
Fractional positions:
1 Cu 0.000 0.000 0.000
2 Cu 0.750 0.250 0.500
3 Hg 0.250 0.750 0.500
4 Hg 0.500 0.500 0.000
5 I 0.049 0.625 0.924
6 I 0.375 0.299 0.424
7 I 0.701 0.125 0.076
8 I 0.875 0.951 0.576

***

6.
This record from Alexandria via LeMat-Bulk describes a geometry-optimized CaYP2S8 structure. The functional is PBE-GGA.

Output
- V: 23.409 Å³/atom
- E_tot: -61.13 eV per cell
- Spin magnetization: 0.048 μB per formula unit
- Space group: P-3, No. 147

a = 5.971 Å, b = 5.971 Å, c = 9.097 Å
α = 90.00°, β = 90.00°, γ = 120.00°
Fractional positions:
1 Ca 0.000 0.000 0.000
2 Y 0.000 0.000 0.500
3 P 0.333 0.667 0.765
4 P 0.667 0.333 0.235
5 S 0.001 0.662 0.296
6 S 0.333 0.667 0.989
7 S 0.338 0.339 0.296
8 S 0.339 0.001 0.704
9 S 0.661 0.999 0.296
10 S 0.662 0.661 0.704
11 S 0.667 0.333 0.011
12 S 0.999 0.338 0.704

***

7.
This record from Alexandria via LeMat-Bulk describes a geometry-optimized Y3Mg2Hg2 structure. The functional is PBE-GGA.

Output
- V: 26.223 Å³/atom
- E_tot: -25.01 eV per cell
- Spin magnetization: 0.000 μB per formula unit
- Space group: P-1, No. 2
- Calculated formation energy: -0.2602 eV/atom

a = 4.978 Å, b = 6.058 Å, c = 6.685 Å
α = 87.12°, β = 89.85°, γ = 65.78°
Fractional positions:
1 Y 0.000 0.000 0.000
2 Y 0.383 0.233 0.314
3 Y 0.617 0.767 0.686
4 Mg 0.305 0.388 0.819
5 Mg 0.695 0.612 0.181
6 Hg 0.122 0.758 0.419
7 Hg 0.878 0.242 0.581

***

8.
This record from Alexandria via LeMat-Bulk describes a geometry-optimized SnPb4N4 structure. The functional is PBE-GGA.

Output
- V: 20.741 Å³/atom
- E_tot: -95.26 eV per cell
- Spin magnetization: 0.000 μB per formula unit
- Space group: P-1, No. 2

a = 6.532 Å, b = 7.314 Å, c = 8.622 Å
α = 81.57°, β = 78.73°, γ = 67.99°
Fractional positions:
1 Sn 0.058 0.183 0.279
2 Sn 0.942 0.817 0.721
3 Pb 0.122 0.660 0.335
4 Pb 0.272 0.965 0.890
5 Pb 0.296 0.427 0.907
6 Pb 0.490 0.772 0.495
7 Pb 0.510 0.228 0.505
8 Pb 0.704 0.573 0.093
9 Pb 0.728 0.035 0.110
10 Pb 0.878 0.340 0.665
11 N 0.057 0.468 0.169
12 N 0.106 0.931 0.156
13 N 0.222 0.113 0.477
14 N 0.290 0.717 0.743
15 N 0.710 0.283 0.257
16 N 0.778 0.887 0.523
17 N 0.894 0.069 0.844
18 N 0.943 0.532 0.831

***

9.
This record from Alexandria via LeMat-Bulk describes a geometry-optimized Ho3Tm5Bi8 structure. The functional is PBE-GGA.

Output
- V: 30.976 Å³/atom
- E_tot: -79.96 eV per cell
- Spin magnetization: 0.000 μB per formula unit
- Space group: R-3m, No. 166
- Calculated formation energy: -0.8011 eV/atom

a = 8.882 Å, b = 8.882 Å, c = 8.882 Å
α = 60.01°, β = 60.01°, γ = 60.01°
Fractional positions:
1 Ho 0.000 0.500 0.500
2 Ho 0.500 0.000 0.500
3 Ho 0.500 0.500 0.000
4 Tm 0.000 0.000 0.000
5 Tm 0.000 0.000 0.500
6 Tm 0.000 0.500 0.000
7 Tm 0.500 0.000 0.000
8 Tm 0.500 0.500 0.500
9 Bi 0.249 0.249 0.249
10 Bi 0.249 0.750 0.750
11 Bi 0.250 0.250 0.751
12 Bi 0.250 0.751 0.250
13 Bi 0.750 0.249 0.750
14 Bi 0.750 0.750 0.249
15 Bi 0.751 0.250 0.250
16 Bi 0.751 0.751 0.751

***

10.
This record from Alexandria via LeMat-Bulk describes a geometry-optimized Hg2Pt structure. The functional is PBE-GGA.

Output
- V: 19.911 Å³/atom
- Excess energy over the best structure of this formula in the dataset: 256.0 meV per atom
- E_tot: -12.15 eV per cell
- Spin magnetization: 0.000 μB per formula unit
- Space group: P6_3/mmc, No. 194
- Calculated formation energy: 0.1896 eV/atom

a = 4.813 Å, b = 4.813 Å, c = 5.954 Å
α = 90.00°, β = 90.00°, γ = 120.00°
Fractional positions:
1 Hg 0.000 0.000 0.000
2 Hg 0.000 0.000 0.500
3 Hg 0.333 0.667 0.250
4 Hg 0.667 0.333 0.750
5 Pt 0.333 0.667 0.750
6 Pt 0.667 0.333 0.250